A geometry-optimized Ac12Cd6Ni structure, computed with PBE-GGA.

## Properties
The value obtained for the final energy is -3.282 eV per atom. The calculation puts the formation energy at -94 meV per atom.

Structure (CIF):
```
data_Ac12Cd6Ni
_space_group_name_H-M_alt 'R -3'
_space_group_IT_number 148
_space_group_name_Hall '-R 3'
_cell_length_a 13.2309
_cell_length_b 13.2309
_cell_length_c 14.5313
_cell_angle_alpha 90.00
_cell_angle_beta 90.00
_cell_angle_gamma 120.00
loop_
_atom_site_label
_atom_site_type_symbol
_atom_site_fract_x
_atom_site_fract_y
_atom_site_fract_z
Ac1 Ac 0.0360 0.1893 0.3796
Ac2 Ac 0.0356 0.8452 0.8876
Cd1 Cd 0.0039 0.6050 0.7549
Ni1 Ni 0.0000 0.0000 0.5000
```

***

A geometry-optimized AcCd11Ni structure, computed with PBE-GGA.

## Properties
The value obtained for the final energy is -1.652 eV per atom. The calculation puts the formation energy at -117 meV per atom.

Structure (CIF):
```
data_AcCd11Ni
_space_group_name_H-M_alt 'C 1 2/m 1'
_space_group_IT_number 12
_space_group_name_Hall '-C 2y'
_cell_length_a 5.661
_cell_length_b 14.437
_cell_length_c 7.658
_cell_angle_alpha 90.00
_cell_angle_beta 110.01
_cell_angle_gamma 90.00
loop_
_atom_site_label
_atom_site_type_symbol
_atom_site_fract_x
_atom_site_fract_y
_atom_site_fract_z
Ac1 Ac 0.000 0.000 0.000
Cd1 Cd 0.000 0.000 0.500
Cd2 Cd 0.097 0.396 0.225
Cd3 Cd 0.193 0.171 0.364
Cd4 Cd 0.250 0.250 0.000
Ni1 Ni 0.000 0.500 0.500
```

***

A geometry-optimized AcCd9Ni3 structure, computed with PBE-GGA.

## Properties
The value obtained for the final energy is -2.369 eV per atom. The calculation puts the formation energy at -86 meV per atom.

Structure (CIF):
```
data_AcCd9Ni3
_space_group_name_H-M_alt 'C 1 2/m 1'
_space_group_IT_number 12
_space_group_name_Hall '-C 2y'
_cell_length_a 5.500
_cell_length_b 14.239
_cell_length_c 7.206
_cell_angle_alpha 90.00
_cell_angle_beta 110.01
_cell_angle_gamma 90.00
loop_
_atom_site_label
_atom_site_type_symbol
_atom_site_fract_x
_atom_site_fract_y
_atom_site_fract_z
Ac1 Ac 0.000 0.000 0.000
Cd1 Cd 0.000 0.000 0.500
Cd2 Cd 0.091 0.385 0.218
Cd3 Cd 0.155 0.179 0.330
Ni1 Ni 0.000 0.500 0.500
Ni2 Ni 0.250 0.250 0.000
```